Entry from Alexandria: an optimized crystal structure of Rb2AcCr2O7 (PBE+U).

Values from the calculation:
**Space-group type**: No. 155
**Fermi-level density of states**: 6.17 states/eV per cell
**Uncorrected energy**: -79.09 eV/cell

Cell and atoms, written as POSCAR:
```
Rb2AcCr2O7
1.0
3.0490 1.7603 7.6617
-3.0490 1.7603 7.6617
0.0000 -3.5207 7.6617
Rb Ac Cr O
2 1 2 7
Direct
0.2085 0.2085 0.2085
0.7915 0.7915 0.7915
0.0000 0.0000 0.0000
0.4217 0.4217 0.4217
0.5783 0.5783 0.5783
0.1780 0.3169 0.7100
0.2900 0.6831 0.8220
0.3169 0.7100 0.1780
0.5000 0.5000 0.5000
0.6831 0.8220 0.2900
0.7100 0.1780 0.3169
0.8220 0.2900 0.6831
```